(1)
This record from Alexandria describes a crystal of Li3TlHg relaxed with PBEsol. The functional is SCAN.

Output
- E_tot: -29.64 eV/atom
- DOS(E_F): 2.22 states/eV/f.u.
- Space group: Pm-3m (221)

```
5
Lattice="-0.4821 4.0109 -2.8208 -3.1471 1.9205 3.2687 3.7603 2.1215 2.3740" Properties=species:S:1:pos:R:3 pbc="T T T"
Tl 0.0656 4.0265 1.4109
Hg 0.0000 0.0000 0.0000
Li -1.5735 0.9603 1.6343
Li 1.8802 1.0608 1.1870
Li -0.2410 2.0055 -1.4104
```

=====

(2)
This record from Alexandria describes a crystal of ZnSiSe2 relaxed with PBEsol. The functional is SCAN.

Output
- DOS(E_F): 0.69 states/eV/f.u.
- Uncorrected formation energy: -0.170 eV/atom
- Space group: Pm (6)

```
4
Lattice="3.7677 0.0544 0.0000 -0.1095 3.7906 0.0000 0.0000 0.0000 5.2910" Properties=species:S:1:pos:R:3 pbc="T T T"
Se 3.1380 3.4649 0.0000
Se 1.3506 1.4753 2.6455
Si 1.4099 1.3690 0.0000
Zn 3.2471 3.3033 2.6455
```

=====

(3)
This record from Alexandria describes a crystal of MnRe2I relaxed with PBEsol. The functional is SCAN.

Output
- DOS(E_F): 2.46 states/eV/f.u.
- Uncorrected formation energy: 0.975 eV/atom
- Space group: Fm-3m (225)

```
4
Lattice="4.4325 0.0000 0.0000 2.2162 3.8386 0.0000 2.2162 1.2795 3.6191" Properties=species:S:1:pos:R:3 pbc="T T T"
I 4.4325 2.5591 1.8095
Re 2.2162 1.2795 0.9048
Re 6.6487 3.8386 2.7143
Mn 0.0000 0.0000 0.0000
```

=====

(4)
This record from Alexandria describes a crystal of Rb3BeTc relaxed with PBEsol. The functional is SCAN.

Output
- E_tot: -18.69 eV/atom
- DOS(E_F): 7.02 states/eV/f.u.
- Space group: Pm-3m (221)

```
5
Lattice="6.3018 0.0000 0.0000 0.0000 6.3018 0.0000 0.0000 0.0000 6.3018" Properties=species:S:1:pos:R:3 pbc="T T T"
Be 3.1509 3.1509 3.1509
Tc 0.0000 0.0000 0.0000
Rb 0.0000 3.1509 0.0000
Rb 0.0000 0.0000 3.1509
Rb 3.1509 0.0000 0.0000
```

=====

(5)
This record from Alexandria describes a crystal of ZnAg2Au relaxed with PBEsol. The functional is SCAN.

Output
- E_tot: -36.46 eV/atom
- DOS(E_F): 1.08 states/eV/f.u.
- Space group: I-4m2 (119)

```
4
Lattice="4.0465 0.0000 0.0000 0.0000 4.0465 0.0000 -2.0233 -2.0233 3.8950" Properties=species:S:1:pos:R:3 pbc="T T T"
Zn 0.0000 2.0233 1.9475
Au 2.0233 2.0233 0.0000
Ag 0.0000 0.0000 0.0000
Ag 2.0233 0.0000 1.9475
```

=====

(6)
This record from Alexandria describes a crystal of K4ZrPb relaxed with PBEsol. The functional is SCAN.

Output
- E_tot: -22.61 eV/atom
- DOS(E_F): 8.95 states/eV/f.u.
- Space group: F-43m (216)

```
6
Lattice="6.8287 0.0000 0.0000 3.4144 5.9138 0.0000 3.4144 1.9713 5.5756" Properties=species:S:1:pos:R:3 pbc="T T T"
K 5.1338 2.9640 2.0959
K 6.8287 3.9426 4.8636
K 8.5236 2.9640 2.0959
K 6.8287 5.8997 2.0959
Pb 10.2431 5.9138 4.1817
Zr 0.0000 0.0000 0.0000
```

=====

(7)
This record from Alexandria describes a crystal of Cd5Ag24 relaxed with PBEsol. The functional is SCAN.

Output
- E_tot: -31.17 eV/atom
- DOS(E_F): 9.89 states/eV/f.u.
- Space group: I-43m (217)

```
29
Lattice="-0.1380 -8.6732 -0.3827 8.1258 2.7050 1.4298 -5.1275 2.6936 6.4686" Properties=species:S:1:pos:R:3 pbc="T T T"
Ag -2.6247 1.0387 5.4465
Ag 2.0741 -1.7648 1.6221
Ag 6.4806 -3.1826 0.9185
Ag 4.9180 -5.3341 0.5758
Ag 3.3923 3.8531 5.1592
Ag 0.8863 3.8509 6.1120
Ag 1.1164 0.4171 2.9372
Ag 0.4636 -5.9969 1.2058
Ag -3.2853 -5.3412 3.6946
Ag -4.2287 -3.1918 4.9901
Ag 5.5786 1.0458 2.3276
Ag -0.4699 -1.7670 2.5893
Ag 4.0791 -3.3592 2.4901
Ag -0.4276 -0.5065 5.1294
Ag 2.4669 -4.2463 0.2235
Ag 4.7297 -1.1307 0.7199
Ag -0.4639 2.4304 4.2479
Ag 3.1652 2.4335 2.8682
Ag 1.1369 -4.0707 2.9811
Ag 2.0203 1.3309 5.3170
Ag -3.0551 -1.1374 3.6796
Ag -1.6889 -4.2499 1.8035
Ag -1.3894 -3.3639 4.5691
Ag 3.7281 -0.5029 3.5494
Cd -1.8217 0.9570 2.2982
Cd 1.8441 -2.1112 4.8455
Cd -0.0490 -3.0814 -0.1360
Cd 2.8869 0.9611 0.5080
Cd 0.0000 0.0000 0.0000
```

=====

(8)
This record from Alexandria describes a crystal of TlSn2Hg2 relaxed with PBEsol. The functional is SCAN.

Output
- DOS(E_F): 1.11 states/eV/f.u.
- Space group: I4/mmm (139)
- Relative energy among the computed polymorphs: 0 meV per atom

```
5
Lattice="-4.2545 -0.4188 -1.5231 1.5588 -0.4044 -4.2430 1.7219 -6.1685 3.6475" Properties=species:S:1:pos:R:3 pbc="T T T"
Tl 0.0000 0.0000 0.0000
Hg 0.2971 -5.2265 0.6072
Hg -1.2709 -1.7651 -2.7258
Sn 0.9664 -3.4922 -1.7393
Sn -1.9403 -3.4994 -0.3793
```

=====

(9)
This record from Alexandria describes a crystal of IrRuRh2 relaxed with PBEsol. The functional is SCAN.

Output
- DOS(E_F): 3.97 states/eV/f.u.
- Space group: Pmm2 (25)
- Relative energy among the computed polymorphs: 0 meV per atom

```
4
Lattice="-0.4264 1.5642 -2.1288 -3.4490 0.8389 1.3073 2.0274 4.1810 2.6660" Properties=species:S:1:pos:R:3 pbc="T T T"
Ru 1.0168 2.0970 1.3371
Ir -0.4252 4.3208 1.5782
Rh 0.0014 0.0028 0.0018
Rh -1.4274 2.2540 0.2603
```

=====

(10)
This record from Alexandria describes a crystal of HoCoSi2 relaxed with PBEsol. The functional is SCAN.

Output
- DOS(E_F): 1.91 states/eV/f.u.
- Uncorrected formation energy: -0.756 eV/atom
- Space group: Cmcm (63)

```
8
Lattice="3.9314 0.0000 0.0000 0.0000 3.9494 0.0000 0.0000 1.9747 8.0412" Properties=species:S:1:pos:R:3 pbc="T T T"
Si 2.9486 1.9747 4.0200
Si 0.9829 3.9494 4.0212
Si 0.9829 1.9747 0.6841
Si 2.9486 3.9494 7.3572
Co 0.9829 1.9747 2.8731
Co 2.9486 3.9494 5.1681
Ho 2.9486 3.9494 1.7335
Ho 0.9829 1.9747 6.3077
```

=====

(11)
This record from Alexandria describes a crystal of Na2PtF relaxed with PBEsol. The functional is SCAN.

Output
- DOS(E_F): 5.98 states/eV/f.u.
- Uncorrected formation energy: -0.561 eV/atom
- Space group: Fm-3m (225)
- Relative energy among the computed polymorphs: 300 meV per atom

```
4
Lattice="4.6898 0.0000 0.0000 2.3449 4.0615 0.0000 2.3449 1.3538 3.8292" Properties=species:S:1:pos:R:3 pbc="T T T"
Na 2.3449 1.3538 0.9573
Na 7.0347 4.0615 2.8719
Pt 4.6898 2.7077 1.9146
F 0.0000 0.0000 0.0000
```